No. 1
First-principles (GGA-PBE) data for a relaxed YCr2Ge crystal, as listed in the Alexandria database.

Calculated values
Total magnetization: 0.374 μB per atom
SG: I-42d, No. 122
Energy: -7.235 eV per atom
DFT formation energy: 347 meV per atom
Calculated volume: 155.6 Å³ per cell
Relative energy among the computed polymorphs: 0.098 eV/atom
Density of states at the Fermi level: 0.790 states/eV/atom
Crystal system: tetragonal

Unit cell a=4.1732 b=4.1732 c=9.4067 alpha=77.18 beta=77.18 gamma=90.00
Last column: nearest neighbours and their distance in Å.
Element x y z (fractional)
Cr 0.8750 0.6951 0.7500  2 Cr 2.17
Cr 0.4451 0.1250 0.2500  2 Cr 2.17
Y 0.0000 0.0000 0.0000  4 Ge 2.95, 4 Cr 3.05
Cr 0.3750 0.5549 0.7500  2 Cr 2.17
Ge 0.2500 0.7500 0.5000  4 Cr 2.48
Y 0.7500 0.2500 0.5000  4 Ge 2.95, 4 Cr 3.05
Ge 0.5000 0.5000 0.0000  4 Cr 2.48
Cr 0.3049 0.6250 0.2500  2 Cr 2.17

No. 2
First-principles (GGA-PBE) data for a relaxed Cs4GeO4 crystal, as listed in the Alexandria database.

Calculated values
Total magnetization: 0.000 μB per atom
SG: P4_2/nmc, No. 137
Energy: -4.632 eV per atom
Formation energy from raw total energies: -148.2 kJ per mole of atoms
Calculated volume: 448.8 Å³ per cell
Relative energy among the computed polymorphs: 0.036 eV/atom
Density of states at the Fermi level: 0.000 states/eV/atom
Crystal system: tetragonal

Unit cell a=6.3018 b=8.4389 c=8.4389 alpha=90.00 beta=90.00 gamma=90.00
Last column: nearest neighbours and their distance in Å.
Element x y z (fractional)
O 0.6673 0.6744 0.5000  1 Ge 1.81
O 0.1673 0.0000 0.1744  1 Ge 1.81
O 0.1673 0.0000 0.8256  1 Ge 1.81
Cs 0.1300 0.7817 0.5001  5 O 3.05-3.32, 1 Ge 3.33
Ge 0.5000 0.5000 0.5000  4 O 1.81
O 0.6673 0.3256 0.5000  1 Ge 1.81
Cs 0.3700 0.7183 0.9999  5 O 3.05-3.32, 1 Ge 3.33
Cs 0.6300 0.0001 0.7183  5 O 3.05-3.32, 1 Ge 3.33
Cs 0.8700 0.5001 0.2183  5 O 3.05-3.32, 1 Ge 3.33
O 0.8327 0.8256 0.0000  1 Ge 1.81
Cs 0.3700 0.2817 0.0001  5 O 3.05-3.32, 1 Ge 3.33
O 0.3327 0.5000 0.3256  1 Ge 1.81
O 0.3327 0.5000 0.6744  1 Ge 1.81
Cs 0.8700 0.4999 0.7817  5 O 3.05-3.32, 1 Ge 3.33
O 0.8327 0.1744 0.0000  1 Ge 1.81
Cs 0.1300 0.2183 0.4999  5 O 3.05-3.32, 1 Ge 3.33
Ge 0.0000 0.0000 0.0000  4 O 1.81
Cs 0.6300 0.9999 0.2817  5 O 3.05-3.32, 1 Ge 3.33

No. 3
First-principles (GGA-PBE) data for a relaxed Sn2Te5Pb2 crystal, as listed in the Alexandria database.

Calculated values
Total magnetization: 0.000 μB per atom
SG: P-3m1, No. 164
Energy: -3.723 eV per atom
Formation energy from raw total energies: -25.5 kJ per mole of atoms
Calculated volume: 302.7 Å³ per cell
Density of states at the Fermi level: 0.500 states/eV/atom
Crystal system: trigonal

Unit cell a=4.4354 b=4.4354 c=17.7692 alpha=90.00 beta=90.00 gamma=120.00
Last column: nearest neighbours and their distance in Å.
Element x y z (fractional)
Te 0.3333 0.6667 0.2233  3 Pb 3.23, 3 Sn 3.24
Te 0.0000 0.0000 0.0000  6 Pb 3.25
Te 0.6667 0.3333 0.7767  3 Pb 3.23, 3 Sn 3.24
Te 0.6667 0.3333 0.4262  3 Sn 3.03
Sn 0.0000 0.0000 0.6649  6 Te 3.03-3.24
Pb 0.3333 0.6667 0.8877  6 Te 3.23-3.25
Sn 0.0000 0.0000 0.3351  6 Te 3.03-3.24
Pb 0.6667 0.3333 0.1123  6 Te 3.23-3.25
Te 0.3333 0.6667 0.5738  3 Sn 3.03

No. 4
First-principles (GGA-PBE) data for a relaxed Ca2Fe2Te crystal, as listed in the Alexandria database.

Calculated values
Total magnetization: 1.143 μB per atom
SG: P4/mbm, No. 127
Energy: -4.540 eV per atom
Formation energy from raw total energies: 26.4 kJ per mole of atoms
Calculated volume: 266.7 Å³ per cell
Relative energy among the computed polymorphs: 0.208 eV/atom
Density of states at the Fermi level: 1.013 states/eV/atom
Crystal system: tetragonal

Unit cell a=8.4266 b=8.4266 c=3.7565 alpha=90.00 beta=90.00 gamma=90.00
Last column: nearest neighbours and their distance in Å.
Element x y z (fractional)
Ca 0.6847 0.1847 0.0000  2 Te 3.08, 6 Fe 3.09-3.27
Ca 0.1847 0.3153 0.0000  2 Te 3.08, 6 Fe 3.09-3.27
Ca 0.3153 0.8153 0.0000  2 Te 3.08, 6 Fe 3.09-3.27
Fe 0.9097 0.4097 0.5000  1 Fe 2.15
Te 0.0000 0.0000 0.0000  4 Ca 3.08
Ca 0.8153 0.6847 0.0000  2 Te 3.08, 6 Fe 3.09-3.27
Te 0.5000 0.5000 0.0000  4 Ca 3.08
Fe 0.5903 0.9097 0.5000  1 Fe 2.15
Fe 0.4097 0.0903 0.5000  1 Fe 2.15
Fe 0.0903 0.5903 0.5000  1 Fe 2.15